Compound: TbSm2Ho5Er
Source: Alexandria via LeMat-Bulk
Functional: PBE
Structure: relaxed

extended XYZ file:
```
18
Lattice="8.613 0.000 0.000 0.000 8.613 0.000 -4.306 -4.306 7.749" Properties=species:S:1:pos:R:3 pbc="T T T"
Sm 3.298 7.605 0.000
Sm 1.008 3.298 0.000
Sm 7.605 5.315 0.000
Sm 5.315 1.008 0.000
Ho 6.124 6.796 2.155
Ho 2.489 -1.817 5.594
Ho 6.796 2.489 2.155
Ho 0.000 0.000 0.000
Ho -1.817 -2.489 5.594
Ho 2.489 1.817 2.155
Ho 1.817 2.489 5.594
Ho 1.817 6.124 2.155
Ho 4.306 4.306 0.000
Ho -2.489 1.817 5.594
Tb 4.306 4.306 3.874
Tb 0.000 0.000 3.874
Er 4.306 0.000 3.874
Er 0.000 4.306 3.874
```

Computed properties:
Its density of states at the Fermi level is 23.2 states/eV per cell. The calculation puts the calculated volume at 574.8 Å³/cell. The calculation puts the formation energy at 283 meV per atom.